A) ! Pm5Nd2Sm4 (GGA-PBE, relaxed); values from VASP
! **SG**: C2/m (12)
! **D(E_F)**: 1.6901 states/eV per atom
! **Calculated volume**: 34.5 Å³ per atom
&SYSTEM
  ibrav = 0, nat = 11, ntyp = 3
/
ATOMIC_SPECIES
Pm 145.00 Pm.upf
Nd 144.24 Nd.upf
Sm 150.36 Sm.upf
CELL_PARAMETERS angstrom
-0.3335 2.8924 -1.9554
-7.8547 -2.9868 -3.0782
-4.2687 4.5588 10.6166
ATOMIC_POSITIONS angstrom
Pm -2.1723 1.3405 2.3534
Pm -10.2847 3.1238 3.2296
Pm -8.5318 0.3214 1.9307
Pm -0.1668 1.4462 -0.9777
Pm -3.9252 4.1429 3.6523
Nd -5.8886 5.5647 6.0903
Nd -6.5684 -1.1004 -0.5073
Sm -5.4445 2.1753 1.0010
Sm -3.2456 -0.5281 -0.2276
Sm -7.0125 2.2890 4.5820
Sm -9.2114 4.9924 5.8106



B) ! Pm5Nd2Sm4 (GGA-PBE, relaxed); values from VASP
! **SG**: C2/m (12)
! **D(E_F)**: 1.5193 states/eV per atom
! **Calculated volume**: 34.9 Å³ per atom
&SYSTEM
  ibrav = 0, nat = 11, ntyp = 3
/
ATOMIC_SPECIES
Pm 145.00 Pm.upf
Nd 144.24 Nd.upf
Sm 150.36 Sm.upf
CELL_PARAMETERS angstrom
6.9633 0.0000 0.0000
3.4816 6.1829 -0.3336
3.4816 0.4986 8.8952
ATOMIC_POSITIONS angstrom
Pm 5.0770 1.4098 7.3466
Pm 8.8496 5.2718 1.2150
Pm 3.4816 3.3408 4.2808
Pm 8.8495 1.4098 7.3466
Pm 5.0770 5.2718 1.2150
Nd 6.9633 4.2805 7.0954
Nd 6.9633 2.4011 1.4662
Sm 6.9633 5.7780 4.0766
Sm 6.9633 0.9036 4.4850
Sm 10.4449 4.8022 7.3205
Sm 3.4816 1.8794 1.2411



Most favorable structure: A). The second most favorable one is 20 meV/atom above it.



A) ! Pm8NdSm2 (GGA-PBE, relaxed); values from VASP
! **SG**: C2/m (12)
! **D(E_F)**: 1.5390 states/eV per atom
! **Calculated volume**: 34.3 Å³ per atom
&SYSTEM
  ibrav = 0, nat = 11, ntyp = 3
/
ATOMIC_SPECIES
Pm 145.00 Pm.upf
Nd 144.24 Nd.upf
Sm 150.36 Sm.upf
CELL_PARAMETERS angstrom
4.9855 0.0000 -1.3277
-0.5356 7.8959 -2.0112
-0.1015 -0.0857 9.6429
ATOMIC_POSITIONS angstrom
Pm 2.6853 3.5795 0.0590
Pm 1.4721 0.6629 5.5276
Pm 0.5562 1.4200 2.0885
Pm -0.1712 5.7318 -0.6430
Pm 3.7922 6.3903 4.2155
Pm 2.8763 7.1473 0.7765
Pm 1.6632 4.2308 6.2451
Pm 4.5197 2.0785 6.9470
Nd 2.4928 0.0000 -0.6639
Sm 0.7467 4.9835 2.8037
Sm 3.6017 2.8267 3.5003



B) ! Pm8NdSm2 (GGA-PBE, relaxed); values from VASP
! **SG**: C2/m (12)
! **D(E_F)**: 1.5582 states/eV per atom
! **Calculated volume**: 35.7 Å³ per atom
&SYSTEM
  ibrav = 0, nat = 11, ntyp = 3
/
ATOMIC_SPECIES
Pm 145.00 Pm.upf
Nd 144.24 Nd.upf
Sm 150.36 Sm.upf
CELL_PARAMETERS angstrom
-4.5240 1.9661 2.8836
-5.5042 -7.2103 -4.9175
-2.8151 -9.8644 1.1110
ATOMIC_POSITIONS angstrom
Pm -3.6603 -6.3964 0.7797
Pm -4.9177 -5.1553 -2.0391
Pm -9.1830 -8.7122 -1.7025
Pm -5.6040 -8.8331 -1.3891
Pm -7.9256 -9.9532 1.1164
Pm -2.6011 -2.7454 -0.0484
Pm -10.2422 -12.3632 -0.8744
Pm -7.2393 -6.2755 0.4664
Nd 0.0000 0.0000 0.0000
Sm -5.7313 -3.3925 1.0630
Sm -7.1120 -11.7160 -1.9857



Most favorable structure: A). The second most favorable one is 138 meV/atom above it.



A) ! PmNd7Sm2 (GGA-PBE, relaxed); values from VASP
! **SG**: P2/m (10)
! **D(E_F)**: 1.8639 states/eV per atom
! **Calculated volume**: 35.0 Å³ per atom
&SYSTEM
  ibrav = 0, nat = 10, ntyp = 3
/
ATOMIC_SPECIES
Pm 145.00 Pm.upf
Nd 144.24 Nd.upf
Sm 150.36 Sm.upf
CELL_PARAMETERS angstrom
-1.4070 -1.1667 2.9454
3.4258 -14.6231 -4.1558
2.7551 13.3034 6.5856
ATOMIC_POSITIONS angstrom
Pm 0.0000 0.0000 0.0000
Nd 2.7673 -6.0462 -1.0730
Nd 3.4136 4.7265 3.5029
Nd 0.9756 1.8537 3.2401
Nd 3.7984 -4.3400 2.1352
Nd 0.6553 -3.6627 0.9021
Nd 4.1186 1.1763 4.4732
Nd 2.3870 -1.2432 2.6876
Sm 3.0225 -9.5812 -0.3115
Sm 1.7514 7.0949 5.6868



B) ! PmNd7Sm2 (GGA-PBE, relaxed); values from VASP
! **SG**: Cmmm (65)
! **D(E_F)**: 1.5490 states/eV per atom
! **Calculated volume**: 41.7 Å³ per atom
&SYSTEM
  ibrav = 0, nat = 10, ntyp = 3
/
ATOMIC_SPECIES
Pm 145.00 Pm.upf
Nd 144.24 Nd.upf
Sm 150.36 Sm.upf
CELL_PARAMETERS angstrom
5.6574 0.0000 0.0000
0.0000 9.3771 -0.5408
0.0000 -4.7131 8.1246
ATOMIC_POSITIONS angstrom
Pm 0.0000 0.0000 0.0000
Nd 0.0000 6.2209 1.4002
Nd 0.0000 -1.5569 6.1836
Nd 2.8287 -0.7646 2.3508
Nd 2.8287 5.4286 5.2331
Nd 2.8287 2.4429 0.3782
Nd 2.8287 2.2211 7.2056
Nd 2.8287 2.3320 3.7919
Sm 2.8287 5.2051 2.0250
Sm 2.8287 -0.5411 5.5589



Most favorable structure: A). The second most favorable one is 464 meV/atom above it.



A) ! TbPmNdSm (GGA-PBE, relaxed); values from VASP
! **SG**: F-43m (216)
! **D(E_F)**: 2.6282 states/eV per atom
! **Calculated volume**: 34.0 Å³ per atom
&SYSTEM
  ibrav = 0, nat = 4, ntyp = 4
/
ATOMIC_SPECIES
Nd 144.24 Nd.upf
Tb 158.93 Tb.upf
Sm 150.36 Sm.upf
Pm 145.00 Pm.upf
CELL_PARAMETERS angstrom
-4.3371 -0.6877 -3.7480
-0.7335 -5.0670 -2.6679
-4.4920 -3.3589 1.3678
ATOMIC_POSITIONS angstrom
Nd -2.3906 -2.2784 -1.2620
Tb 0.0000 0.0000 0.0000
Sm -7.1719 -6.8352 -3.7861
Pm -4.7813 -4.5568 -2.5241



B) ! TbPmNdSm (GGA-PBE, relaxed); values from VASP
! **SG**: I-4m2 (119)
! **D(E_F)**: 1.4572 states/eV per atom
! **Calculated volume**: 33.9 Å³ per atom
&SYSTEM
  ibrav = 0, nat = 4, ntyp = 4
/
ATOMIC_SPECIES
Tb 158.93 Tb.upf
Pm 145.00 Pm.upf
Nd 144.24 Nd.upf
Sm 150.36 Sm.upf
CELL_PARAMETERS angstrom
-3.4614 -2.9218 -2.4199
3.7736 -2.9904 -1.7872
-0.5478 -0.0283 6.2673
ATOMIC_POSITIONS angstrom
Tb -1.8839 -2.6279 0.4181
Pm -0.1929 -5.6155 1.6065
Nd 1.7336 -2.6627 0.7352
Sm -0.3491 -2.6594 3.7103



Most favorable structure: B). The second most favorable one is 125 meV/atom above it.



A) ! PmNdSmZn (GGA-PBE, relaxed); values from VASP
! **SG**: F-43m (216)
! **D(E_F)**: 1.2723 states/eV per atom
! **Calculated volume**: 28.9 Å³ per atom
&SYSTEM
  ibrav = 0, nat = 4, ntyp = 4
/
ATOMIC_SPECIES
Zn 65.41 Zn.upf
Nd 144.24 Nd.upf
Sm 150.36 Sm.upf
Pm 145.00 Pm.upf
CELL_PARAMETERS angstrom
-4.4806 -2.2777 2.1496
0.4390 -3.4213 4.2411
-1.7448 1.5404 4.9464
ATOMIC_POSITIONS angstrom
Zn 0.0000 0.0000 0.0000
Nd -4.3398 -3.1190 8.5028
Sm -1.4466 -1.0397 2.8343
Pm -2.8932 -2.0793 5.6685



B) ! PmNdSmZn (GGA-PBE, relaxed); values from VASP
! **SG**: P4mm (99)
! **D(E_F)**: 1.0662 states/eV per atom
! **Calculated volume**: 29.5 Å³ per atom
&SYSTEM
  ibrav = 0, nat = 4, ntyp = 4
/
ATOMIC_SPECIES
Pm 145.00 Pm.upf
Nd 144.24 Nd.upf
Sm 150.36 Sm.upf
Zn 65.41 Zn.upf
CELL_PARAMETERS angstrom
-1.1722 -0.6386 3.4072
-1.6393 -3.0671 -1.1388
7.3667 -4.5611 1.6797
ATOMIC_POSITIONS angstrom
Pm 4.3172 -5.3962 2.4391
Nd 0.5339 -0.3306 0.1217
Sm 1.2902 -3.5220 1.7489
Zn 4.1945 -2.5970 0.9564



Most favorable structure: B). The second most favorable one is 218 meV/atom above it.



A) ! Pm2Nd3Sn (GGA-PBE, relaxed); values from VASP
! **SG**: Cmmm (65)
! **D(E_F)**: 1.1668 states/eV per atom
! **Calculated volume**: 32.0 Å³ per atom
&SYSTEM
  ibrav = 0, nat = 6, ntyp = 3
/
ATOMIC_SPECIES
Pm 145.00 Pm.upf
Nd 144.24 Nd.upf
Sn 118.71 Sn.upf
CELL_PARAMETERS angstrom
-2.2209 3.8225 -2.3138
-3.8568 -0.3836 3.0682
5.3525 5.1627 3.3915
ATOMIC_POSITIONS angstrom
Pm -0.8306 1.4020 3.1134
Pm 2.3263 3.3772 3.3464
Nd 0.0032 3.5281 0.4451
Nd -3.0389 1.7195 0.3772
Nd -0.7285 5.0736 3.7008
Sn 0.0000 0.0000 0.0000



B) ! Pm2Nd3Sn (GGA-PBE, relaxed); values from VASP
! **SG**: P2_1/m (11)
! **D(E_F)**: 1.3705 states/eV per atom
! **Calculated volume**: 32.9 Å³ per atom
&SYSTEM
  ibrav = 0, nat = 12, ntyp = 3
/
ATOMIC_SPECIES
Pm 145.00 Pm.upf
Nd 144.24 Nd.upf
Sn 118.71 Sn.upf
CELL_PARAMETERS angstrom
-0.8298 2.9916 2.2852
5.3398 -3.3543 6.3301
8.9118 5.7882 -4.3412
ATOMIC_POSITIONS angstrom
Pm 5.4825 2.0137 0.9803
Pm 7.9394 3.4118 3.2938
Pm 7.7899 7.1176 -1.6117
Pm 5.6320 -1.6920 5.8858
Nd 5.2500 5.3988 -0.2841
Nd 8.1718 0.0267 4.5581
Nd 4.8292 1.6407 4.4829
Nd 8.5927 3.7848 -0.2088
Nd 2.3221 0.0359 2.4219
Nd 11.0998 5.3896 1.8522
Sn 10.9359 2.1843 2.7374
Sn 2.4860 3.2413 1.5367



Most favorable structure: A). The second most favorable one is 66 meV/atom above it.



A) ! PmNd2Sn (GGA-PBE, relaxed); values from VASP
! **SG**: P4/mmm (123)
! **D(E_F)**: 0.9829 states/eV per atom
! **Calculated volume**: 30.2 Å³ per atom
&SYSTEM
  ibrav = 0, nat = 4, ntyp = 3
/
ATOMIC_SPECIES
Nd 144.24 Nd.upf
Sn 118.71 Sn.upf
Pm 145.00 Pm.upf
CELL_PARAMETERS angstrom
4.9551 0.0000 0.0000
0.0000 4.9350 0.0000
0.0000 0.0000 4.9350
ATOMIC_POSITIONS angstrom
Nd 0.0000 0.0000 2.4675
Nd 0.0000 2.4675 0.0000
Sn 2.4775 0.0000 0.0000
Pm 2.4775 2.4675 2.4675



B) ! PmNd2Sn (GGA-PBE, relaxed); values from VASP
! **SG**: R-3m (166)
! **D(E_F)**: 1.7163 states/eV per atom
! **Calculated volume**: 32.8 Å³ per atom
&SYSTEM
  ibrav = 0, nat = 4, ntyp = 3
/
ATOMIC_SPECIES
Nd 144.24 Nd.upf
Sn 118.71 Sn.upf
Pm 145.00 Pm.upf
CELL_PARAMETERS angstrom
3.5316 0.0000 0.0000
1.7658 3.0584 0.0000
1.7658 1.0195 12.1350
ATOMIC_POSITIONS angstrom
Nd 1.7658 1.0195 8.7057
Nd 5.2974 3.0584 3.4293
Sn 3.5316 2.0390 6.0675
Pm 0.0000 0.0000 0.0000



C) ! PmNd2Sn (GGA-PBE, relaxed); values from VASP
! **SG**: Fm-3m (225)
! **D(E_F)**: 1.9220 states/eV per atom
! **Calculated volume**: 30.6 Å³ per atom
&SYSTEM
  ibrav = 0, nat = 4, ntyp = 3
/
ATOMIC_SPECIES
Nd 144.24 Nd.upf
Sn 118.71 Sn.upf
Pm 145.00 Pm.upf
CELL_PARAMETERS angstrom
5.5702 0.0000 0.0000
2.7851 4.8240 0.0000
2.7851 1.6080 4.5481
ATOMIC_POSITIONS angstrom
Nd 2.7851 1.6080 1.1370
Nd 8.3553 4.8240 3.4111
Sn 5.5702 3.2160 2.2740
Pm 0.0000 0.0000 0.0000



Most favorable structure: A). The second most favorable one is 194 meV/atom above it.



A) ! PmNdTlSn (GGA-PBE, relaxed); values from VASP
! **SG**: F-43m (216)
! **D(E_F)**: 0.6087 states/eV per atom
! **Calculated volume**: 29.3 Å³ per atom
&SYSTEM
  ibrav = 0, nat = 4, ntyp = 4
/
ATOMIC_SPECIES
Tl 204.38 Tl.upf
Nd 144.24 Nd.upf
Sn 118.71 Sn.upf
Pm 145.00 Pm.upf
CELL_PARAMETERS angstrom
-5.4066 0.1654 0.9388
-2.3060 -3.6309 3.4115
-1.8886 1.6406 4.8868
ATOMIC_POSITIONS angstrom
Tl -7.2008 -1.3686 6.9279
Nd -4.8006 -0.9124 4.6186
Sn -2.4003 -0.4562 2.3093
Pm 0.0000 0.0000 0.0000



B) ! PmNdTlSn (GGA-PBE, relaxed); values from VASP
! **SG**: P4mm (99)
! **D(E_F)**: 1.0241 states/eV per atom
! **Calculated volume**: 29.1 Å³ per atom
&SYSTEM
  ibrav = 0, nat = 4, ntyp = 4
/
ATOMIC_SPECIES
Pm 145.00 Pm.upf
Nd 144.24 Nd.upf
Tl 204.38 Tl.upf
Sn 118.71 Sn.upf
CELL_PARAMETERS angstrom
4.0542 0.0000 0.0000
0.0000 4.0542 0.0000
0.0000 0.0000 7.0867
ATOMIC_POSITIONS angstrom
Pm 2.0271 2.0271 4.3519
Nd 2.0271 2.0271 0.7101
Tl 0.0000 0.0000 2.5489
Sn 0.0000 0.0000 6.0521



Most favorable structure: B). The second most favorable one is 7 meV/atom above it.



A) ! SrPmNd2 (GGA-PBE, relaxed); values from VASP
! **SG**: P4/mmm (123)
! **D(E_F)**: 1.7945 states/eV per atom
! **Calculated volume**: 37.9 Å³ per atom
&SYSTEM
  ibrav = 0, nat = 4, ntyp = 3
/
ATOMIC_SPECIES
Sr 87.62 Sr.upf
Nd 144.24 Nd.upf
Pm 145.00 Pm.upf
CELL_PARAMETERS angstrom
5.3262 0.0000 0.0000
0.0000 5.3372 0.0000
0.0000 0.0000 5.3372
ATOMIC_POSITIONS angstrom
Sr 2.6631 0.0000 0.0000
Nd 0.0000 0.0000 2.6686
Nd 0.0000 2.6686 0.0000
Pm 2.6631 2.6686 2.6686



B) ! SrPmNd2 (GGA-PBE, relaxed); values from VASP
! **SG**: R-3m (166)
! **D(E_F)**: 1.5531 states/eV per atom
! **Calculated volume**: 39.0 Å³ per atom
&SYSTEM
  ibrav = 0, nat = 4, ntyp = 3
/
ATOMIC_SPECIES
Sr 87.62 Sr.upf
Nd 144.24 Nd.upf
Pm 145.00 Pm.upf
CELL_PARAMETERS angstrom
-0.8197 -2.2245 2.8403
2.1291 -2.9380 0.7229
7.9148 5.6501 9.1190
ATOMIC_POSITIONS angstrom
Sr 0.0000 0.0000 0.0000
Nd 5.8427 3.6078 6.9214
Nd 3.3815 -3.1202 5.7608
Pm 4.6121 0.2438 6.3411



Most favorable structure: A). The second most favorable one is 26 meV/atom above it.



A) ! SrPmNd2 (GGA-PBE, relaxed); values from VASP
! **SG**: R3m (160)
! **D(E_F)**: 1.4592 states/eV per atom
! **Calculated volume**: 38.4 Å³ per atom
&SYSTEM
  ibrav = 0, nat = 4, ntyp = 3
/
ATOMIC_SPECIES
Sr 87.62 Sr.upf
Pm 145.00 Pm.upf
Nd 144.24 Nd.upf
CELL_PARAMETERS angstrom
3.7694 0.0000 0.0000
1.8847 3.2644 0.0000
1.8847 1.0881 12.4775
ATOMIC_POSITIONS angstrom
Sr 3.7694 2.1763 6.2252
Pm 3.7694 2.1763 0.0122
Nd 1.8847 1.0881 9.5722
Nd 1.8847 1.0881 2.9067



B) ! SrPmNd2 (GGA-PBE, relaxed); values from VASP
! **SG**: Fm-3m (225)
! **D(E_F)**: 2.0684 states/eV per atom
! **Calculated volume**: 38.3 Å³ per atom
&SYSTEM
  ibrav = 0, nat = 4, ntyp = 3
/
ATOMIC_SPECIES
Sr 87.62 Sr.upf
Nd 144.24 Nd.upf
Pm 145.00 Pm.upf
CELL_PARAMETERS angstrom
6.0059 0.0000 0.0000
3.0030 5.2013 0.0000
3.0030 1.7338 4.9038
ATOMIC_POSITIONS angstrom
Sr 0.0000 0.0000 0.0000
Nd 3.0030 1.7338 1.2260
Nd 9.0089 5.2013 3.6779
Pm 6.0059 3.4675 2.4519



Most favorable structure: A). The second most favorable one is 129 meV/atom above it.



A) ! TbPmNd2 (GGA-PBE, relaxed); values from VASP
! **SG**: P4/mmm (123)
! **D(E_F)**: 2.1743 states/eV per atom
! **Calculated volume**: 34.2 Å³ per atom
&SYSTEM
  ibrav = 0, nat = 4, ntyp = 3
/
ATOMIC_SPECIES
Nd 144.24 Nd.upf
Tb 158.93 Tb.upf
Pm 145.00 Pm.upf
CELL_PARAMETERS angstrom
-3.0353 1.0139 2.8502
-2.9837 -0.3371 -3.0575
-0.8686 -7.2212 1.6438
ATOMIC_POSITIONS angstrom
Nd -0.6547 -5.4434 1.2391
Nd -0.2138 -1.7778 0.4047
Tb -3.0095 0.3384 -0.1036
Pm -3.4438 -3.2722 0.7183



B) ! TbPmNd2 (GGA-PBE, relaxed); values from VASP
! **SG**: R3m (160)
! **D(E_F)**: 1.4672 states/eV per atom
! **Calculated volume**: 34.3 Å³ per atom
&SYSTEM
  ibrav = 0, nat = 4, ntyp = 3
/
ATOMIC_SPECIES
Tb 158.93 Tb.upf
Pm 145.00 Pm.upf
Nd 144.24 Nd.upf
CELL_PARAMETERS angstrom
-0.8890 3.4888 0.6402
-1.5689 0.9353 3.1679
9.8656 3.3268 6.0141
ATOMIC_POSITIONS angstrom
Tb 8.2157 6.2742 8.5479
Pm 3.7102 3.8765 4.9140
Nd 7.2264 2.8693 4.8422
Nd 1.8247 1.9330 2.4435



C) ! TbPmNd2 (GGA-PBE, relaxed); values from VASP
! **SG**: Amm2 (38)
! **D(E_F)**: 1.4293 states/eV per atom
! **Calculated volume**: 34.3 Å³ per atom
&SYSTEM
  ibrav = 0, nat = 4, ntyp = 3
/
ATOMIC_SPECIES
Tb 158.93 Tb.upf
Pm 145.00 Pm.upf
Nd 144.24 Nd.upf
CELL_PARAMETERS angstrom
3.5851 0.0000 0.0000
0.0000 5.6785 0.0000
-1.7926 0.0000 6.7310
ATOMIC_POSITIONS angstrom
Tb 0.0000 0.0000 6.0049
Pm 1.7926 2.8393 4.1149
Nd 0.0000 2.8393 0.8254
Nd 0.0000 0.0000 2.5169



Most favorable structure: B). The second most favorable one is 36 meV/atom above it.



A) ! TbPmNd2 (GGA-PBE, relaxed); values from VASP
! **SG**: Fm-3m (225)
! **D(E_F)**: 2.4470 states/eV per atom
! **Calculated volume**: 34.3 Å³ per atom
&SYSTEM
  ibrav = 0, nat = 4, ntyp = 3
/
ATOMIC_SPECIES
Nd 144.24 Nd.upf
Tb 158.93 Tb.upf
Pm 145.00 Pm.upf
CELL_PARAMETERS angstrom
-4.4672 -2.5185 2.6870
-1.1229 -5.6098 -0.8876
0.9554 -3.8465 4.2203
ATOMIC_POSITIONS angstrom
Nd -1.1587 -2.9937 1.5049
Nd -3.4760 -8.9810 4.5148
Tb 0.0000 0.0000 0.0000
Pm -2.3174 -5.9874 3.0098



B) ! TbPmNd2 (GGA-PBE, relaxed); values from VASP
! **SG**: R-3m (166)
! **D(E_F)**: 1.2994 states/eV per atom
! **Calculated volume**: 34.2 Å³ per atom
&SYSTEM
  ibrav = 0, nat = 4, ntyp = 3
/
ATOMIC_SPECIES
Nd 144.24 Nd.upf
Tb 158.93 Tb.upf
Pm 145.00 Pm.upf
CELL_PARAMETERS angstrom
-3.2141 1.1884 1.2426
-2.9181 -2.1813 -0.1155
0.6110 -4.4551 11.1875
ATOMIC_POSITIONS angstrom
Nd -4.1482 -4.0748 9.2065
Nd -1.3731 -1.3733 3.1082
Tb -2.7606 -2.7240 6.1573
Pm 0.0000 0.0000 0.0000



Most favorable structure: B). The second most favorable one is 120 meV/atom above it.